Material: Np2AlPd9
Method: DFT, PBE
State: relaxed

extended XYZ file:
```
12
Lattice="4.081 0.000 0.000 0.000 4.081 0.000 0.000 0.000 12.106" Properties=species:S:1:pos:R:3 pbc="T T T"
Np 0.000 0.000 2.114
Np 0.000 0.000 9.992
Al 0.000 0.000 6.053
Pd 0.000 2.041 0.000
Pd 0.000 2.041 4.185
Pd 0.000 2.041 7.921
Pd 2.041 0.000 0.000
Pd 2.041 0.000 4.185
Pd 2.041 0.000 7.921
Pd 2.041 2.041 2.095
Pd 2.041 2.041 6.053
Pd 2.041 2.041 10.011
```

Computed properties:
Crystal system: tetragonal
DOS(E_F) (states/eV/cell): 26.6
SG: P4/mmm (123)
E (eV/f.u.): -82.3
Energy of formation (meV/atom): -493